[1]
# Cs2SrTlSb2, relaxed, DFT GGA-PBE
# raw formation energy	-49	kJ/mol of atoms
# raw total energy	-34.09	eV per cell
data_Cs2SrTlSb2
_space_group_name_H-M_alt 'P m c 21'
_space_group_IT_number 26
_cell_length_a 5.673
_cell_length_b 10.462
_cell_length_c 8.357
_cell_angle_alpha 90.00
_cell_angle_beta 90.00
_cell_angle_gamma 90.00
loop_
_space_group_symop_operation_xyz
'x,y,z'
'-x,-y,z+1/2'
'-x,y,z'
'x,-y,z+1/2'
loop_
_atom_site_label
_atom_site_type_symbol
_atom_site_fract_x
_atom_site_fract_y
_atom_site_fract_z
_atom_site_occupancy
Cs1 Cs 0.000 0.086 0.000 1
Cs2 Cs 0.500 0.156 0.320 1
Sr1 Sr 0.500 0.480 0.010 1
Tl1 Tl 0.000 0.325 0.658 1
Sb1 Sb 0.000 0.390 0.281 1
Sb2 Sb 0.500 0.229 0.750 1


[2]
# Sr2CdOs, relaxed, DFT GGA-PBE
# formation energy	9.12	kcal/mol of atoms
# raw total energy	-27.85	eV per cell
data_Sr2CdOs
_space_group_name_H-M_alt 'I m m 2'
_space_group_IT_number 44
_cell_length_a 3.709
_cell_length_b 5.348
_cell_length_c 11.398
_cell_angle_alpha 90.00
_cell_angle_beta 90.00
_cell_angle_gamma 90.00
loop_
_space_group_symop_operation_xyz
'x,y,z'
'-x,-y,z'
'-x,y,z'
'x,-y,z'
'x+1/2,y+1/2,z+1/2'
'-x+1/2,-y+1/2,z+1/2'
'-x+1/2,y+1/2,z+1/2'
'x+1/2,-y+1/2,z+1/2'
loop_
_atom_site_label
_atom_site_type_symbol
_atom_site_fract_x
_atom_site_fract_y
_atom_site_fract_z
_atom_site_occupancy
Sr1 Sr 0.000 0.000 0.000 1
Sr2 Sr 0.000 0.500 0.196 1
Cd1 Cd 0.000 0.500 0.794 1
Os1 Os 0.000 0.000 0.471 1


[3]
# AlRe2PbC, relaxed, DFT GGA-PBE
# polymorph energy (0 for the lowest one)	2261.8	meV/atom
# formation energy	74.01	kcal/mol of atoms
# raw total energy	-25.52	eV per cell
data_AlRe2PbC
_space_group_name_H-M_alt 'P 4/m m m'
_space_group_IT_number 123
_space_group_name_Hall '-P 4 2'
_cell_length_a 5.109
_cell_length_b 5.109
_cell_length_c 4.216
_cell_angle_alpha 90.00
_cell_angle_beta 90.00
_cell_angle_gamma 90.00
loop_
_atom_site_label
_atom_site_type_symbol
_atom_site_fract_x
_atom_site_fract_y
_atom_site_fract_z
_atom_site_occupancy
Al1 Al 0.000 0.000 0.000 1
Re1 Re 0.000 0.500 0.500 1
Pb1 Pb 0.500 0.500 0.500 1
C1 C 0.500 0.500 0.000 1


[4]
# Sc4CdP, relaxed, DFT GGA-PBE
# formation energy	6.28	kcal/mol of atoms
# raw total energy	-120.07	eV per cell
data_Sc4CdP
_space_group_name_H-M_alt 'F -4 3 m'
_space_group_IT_number 216
_space_group_name_Hall 'F -4 2 3'
_cell_length_a 8.136
_cell_length_b 8.136
_cell_length_c 8.136
_cell_angle_alpha 90.00
_cell_angle_beta 90.00
_cell_angle_gamma 90.00
loop_
_atom_site_label
_atom_site_type_symbol
_atom_site_fract_x
_atom_site_fract_y
_atom_site_fract_z
_atom_site_occupancy
Sc1 Sc 0.125 0.125 0.125 1
Cd1 Cd 0.250 0.250 0.750 1
P1 P 0.000 0.000 0.500 1


[5]
# BaC5, relaxed, DFT GGA-PBE
# polymorph energy (0 for the lowest one)	1052.6	meV/atom
# formation energy	44.12	kcal/mol of atoms
# raw total energy	-73.13	eV per cell
data_BaC5
_space_group_name_H-M_alt 'A m m 2'
_space_group_IT_number 38
_cell_length_a 3.384
_cell_length_b 3.584
_cell_length_c 10.747
_cell_angle_alpha 90.00
_cell_angle_beta 90.00
_cell_angle_gamma 90.00
loop_
_space_group_symop_operation_xyz
'x,y,z'
'-x,-y,z'
'-x,y,z'
'x,-y,z'
'x,y+1/2,z+1/2'
'-x,-y+1/2,z+1/2'
'-x,y+1/2,z+1/2'
'x,-y+1/2,z+1/2'
loop_
_atom_site_label
_atom_site_type_symbol
_atom_site_fract_x
_atom_site_fract_y
_atom_site_fract_z
_atom_site_occupancy
Ba1 Ba 0.000 0.000 0.000 1
C1 C 0.000 0.000 0.260 1
C2 C 0.000 0.000 0.730 1
C3 C 0.500 0.000 0.285 1
C4 C 0.500 0.000 0.656 1
C5 C 0.500 0.000 0.787 1


[6]
# Zr5Co2Ge, relaxed, DFT GGA-PBE
# formation energy	-8.94	kcal/mol of atoms
# raw total energy	-258.69	eV per cell
data_Zr5Co2Ge
_space_group_name_H-M_alt 'I 4/m c m'
_space_group_IT_number 140
_space_group_name_Hall '-I 4 2c'
_cell_length_a 6.674
_cell_length_b 6.674
_cell_length_c 13.517
_cell_angle_alpha 90.00
_cell_angle_beta 90.00
_cell_angle_gamma 90.00
loop_
_atom_site_label
_atom_site_type_symbol
_atom_site_fract_x
_atom_site_fract_y
_atom_site_fract_z
_atom_site_occupancy
Zr1 Zr 0.000 0.000 0.000 1
Zr2 Zr 0.161 0.339 0.147 1
Co1 Co 0.132 0.368 0.500 1
Ge1 Ge 0.000 0.000 0.250 1


[7]
# K4Se5S3, relaxed, DFT GGA-PBE
# raw formation energy	-58	kJ/mol of atoms
# raw total energy	-82.72	eV per cell
data_K4Se5S3
_space_group_name_H-M_alt 'C 1 2/m 1'
_space_group_IT_number 12
_cell_length_a 18.928
_cell_length_b 4.743
_cell_length_c 11.206
_cell_angle_alpha 90.00
_cell_angle_beta 126.26
_cell_angle_gamma 90.00
loop_
_space_group_symop_operation_xyz
'x,y,z'
'-x,-y,-z'
'-x,y,-z'
'x,-y,z'
'x+1/2,y+1/2,z'
'-x+1/2,-y+1/2,-z'
'-x+1/2,y+1/2,-z'
'x+1/2,-y+1/2,z'
loop_
_atom_site_label
_atom_site_type_symbol
_atom_site_fract_x
_atom_site_fract_y
_atom_site_fract_z
_atom_site_occupancy
K1 K 0.010 0.000 0.289 1
K2 K 0.220 0.500 0.254 1
Se1 Se 0.000 0.500 0.000 1
Se2 Se 0.100 0.500 0.634 1
Se3 Se 0.211 0.500 0.894 1
S1 S 0.000 0.000 0.000 1
S2 S 0.155 0.500 0.504 1


[8]
# Sn3AuO, relaxed, DFT GGA-PBE
# polymorph energy (0 for the lowest one)	0.0	meV/atom
# raw formation energy	-19	kJ/mol of atoms
# raw total energy	-21.23	eV per cell
data_Sn3AuO
_space_group_name_H-M_alt 'P m -3 m'
_space_group_IT_number 221
_space_group_name_Hall '-P 4 2 3'
_cell_length_a 4.799
_cell_length_b 4.799
_cell_length_c 4.799
_cell_angle_alpha 90.00
_cell_angle_beta 90.00
_cell_angle_gamma 90.00
loop_
_atom_site_label
_atom_site_type_symbol
_atom_site_fract_x
_atom_site_fract_y
_atom_site_fract_z
_atom_site_occupancy
Sn1 Sn 0.000 0.000 0.500 1
Au1 Au 0.500 0.500 0.500 1
O1 O 0.000 0.000 0.000 1


[9]
# AlFePb3, relaxed, DFT GGA-PBE
# polymorph energy (0 for the lowest one)	0.0	meV/atom
# formation energy	10.81	kcal/mol of atoms
# raw total energy	-20.99	eV per cell
data_AlFePb3
_space_group_name_H-M_alt 'P m -3 m'
_space_group_IT_number 221
_space_group_name_Hall '-P 4 2 3'
_cell_length_a 5.164
_cell_length_b 5.164
_cell_length_c 5.164
_cell_angle_alpha 90.00
_cell_angle_beta 90.00
_cell_angle_gamma 90.00
loop_
_atom_site_label
_atom_site_type_symbol
_atom_site_fract_x
_atom_site_fract_y
_atom_site_fract_z
_atom_site_occupancy
Al1 Al 0.000 0.000 0.000 1
Fe1 Fe 0.500 0.500 0.500 1
Pb1 Pb 0.000 0.500 0.500 1


[10]
# MnZn2Pt, relaxed, DFT GGA-PBE
# formation energy	-5.20	kcal/mol of atoms
# raw total energy	-18.66	eV per cell
data_MnZn2Pt
_space_group_name_H-M_alt 'P 1 m 1'
_space_group_IT_number 6
_cell_length_a 2.784
_cell_length_b 4.105
_cell_length_c 5.240
_cell_angle_alpha 90.00
_cell_angle_beta 104.59
_cell_angle_gamma 90.00
loop_
_space_group_symop_operation_xyz
'x,y,z'
'x,-y,z'
loop_
_atom_site_label
_atom_site_type_symbol
_atom_site_fract_x
_atom_site_fract_y
_atom_site_fract_z
_atom_site_occupancy
Mn1 Mn 0.000 0.000 0.000 1
Zn1 Zn 0.267 0.000 0.511 1
Zn2 Zn 0.396 0.500 0.785 1
Pt1 Pt 0.661 0.500 0.294 1